Entry 1:
First-principles (PBE-GGA) data for a relaxed structure of PrSm2Dy2Ho2, as listed in the Alexandria database.

Calculated values
SG   No. 12
Energy of formation   18 meV per atom
Spin magnetization   0.0 μB per formula unit

abc: 5.072 6.199 8.032
angles: 97.47 90.00 114.15
Element x y z (fractional)
Dy (0.285, 0.571, 0.857)
Dy (0.715, 0.429, 0.143)
Sm (0.143, 0.285, 0.430)
Sm (0.857, 0.715, 0.570)
Pr (0.000, 0.000, 0.000)
Ho (0.572, 0.144, 0.714)
Ho (0.428, 0.856, 0.286)

Entry 2:
First-principles (PBE-GGA) data for a relaxed structure of Nd2AlZn2, as listed in the Alexandria database.

Calculated values
Energy above the lowest structure with this stoichiometry   3 meV per atom
SG   No. 127
Energy of formation   -341 meV per atom
Spin magnetization   0.0 μB per formula unit

abc: 7.054 7.054 9.414
angles: 90.00 90.00 90.00
Element x y z (fractional)
Nd (0.676, 0.824, 0.000)
Nd (0.676, 0.824, 0.500)
Nd (0.176, 0.676, 0.000)
Nd (0.824, 0.324, 0.500)
Nd (0.324, 0.176, 0.500)
Nd (0.824, 0.324, 0.000)
Nd (0.176, 0.676, 0.500)
Nd (0.324, 0.176, 0.000)
Al (0.500, 0.500, 0.750)
Al (0.000, 0.000, 0.750)
Al (0.000, 0.000, 0.250)
Al (0.500, 0.500, 0.250)
Zn (0.871, 0.629, 0.750)
Zn (0.129, 0.371, 0.250)
Zn (0.871, 0.629, 0.250)
Zn (0.629, 0.129, 0.250)
Zn (0.129, 0.371, 0.750)
Zn (0.371, 0.871, 0.750)
Zn (0.371, 0.871, 0.250)
Zn (0.629, 0.129, 0.750)